Entry 1:
Computed, not measured: an optimized crystal structure of K2BaPrF8 at the GGA-PBE level of DFT.

Cell lengths 6.162, 6.162, 12.099 Å; angles 90.00, 90.00, 90.00 degrees
Space group I-4m2 (No. 119)
Asymmetric unit:
K (0.000, 0.000, 0.000)
K (0.000, 0.500, 0.250)
Ba (0.000, 0.000, 0.500)
Pr (0.000, 0.500, 0.750)
F (0.222, 0.269, 0.634)

Values from the calculation:
**Crystal system**: tetragonal
**Formation energy without anion corrections**: -39.11 eV/f.u.
**Final energy**: -63.0 eV/f.u.
**Total moment**: 1.176 μB/f.u.
**Density of states at the Fermi level**: 1.39 states/eV/atom

***

Entry 2:
Computed, not measured: an optimized crystal structure of NaGe3Rh2 at the GGA-PBE level of DFT.

Cell lengths 10.042, 7.780, 5.623 Å; angles 90.00, 90.00, 90.00 degrees
Space group Cmcm (No. 63)
Asymmetric unit:
Na (0.000, 0.141, 0.250)
Ge (0.000, 0.456, 0.750)
Ge (0.175, 0.216, 0.750)
Rh (0.211, 0.500, 0.000)

Values from the calculation:
**Crystal system**: orthorhombic
**Energy relative to the elements**: -0.304 eV per atom
**Final energy**: -31.7 eV/f.u.
**Total moment**: 0.000 μB/f.u.
**Density of states at the Fermi level**: 0.52 states/eV/atom

***

Entry 3:
Computed, not measured: an optimized crystal structure of AcHg2Au at the GGA-PBE level of DFT.

Cell lengths 3.981, 3.981, 6.825 Å; angles 90.00, 90.00, 90.00 degrees
Space group P4/mmm (No. 123)
Asymmetric unit:
Ac (0.000, 0.000, 0.000)
Hg (0.500, 0.500, 0.285)
Au (0.000, 0.000, 0.500)

Values from the calculation:
**Crystal system**: tetragonal
**Energy relative to the elements**: -0.305 eV per atom
**Final energy**: -9.2 eV/f.u.
**Total moment**: 0.110 μB/f.u.
**Density of states at the Fermi level**: 0.72 states/eV/atom

***

What did the first record say?
Computed, not measured: an optimized crystal structure of K2BaPrF8 at the GGA-PBE level of DFT.

Cell lengths 6.162, 6.162, 12.099 Å; angles 90.00, 90.00, 90.00 degrees
Space group I-4m2 (No. 119)
Asymmetric unit:
K (0.000, 0.000, 0.000)
K (0.000, 0.500, 0.250)
Ba (0.000, 0.000, 0.500)
Pr (0.000, 0.500, 0.750)
F (0.222, 0.269, 0.634)

Values from the calculation:
**Crystal system**: tetragonal
**Formation energy without anion corrections**: -39.11 eV/f.u.
**Final energy**: -63.0 eV/f.u.
**Total moment**: 1.176 μB/f.u.
**Density of states at the Fermi level**: 1.39 states/eV/atom